The following is a PBE+U calculation of a geometry-optimized NaSrTbVO6 structure, from Alexandria.

Cell lengths 5.8188, 5.8188, 5.8188 Å; angles 60.00, 60.00, 60.00 degrees
With the nearest neighbours (Å) after each atom.
Positions (direct):
Na  0.0000  0.0000  0.0000  12 O 2.91
Sr  0.5000  0.5000  0.5000  12 O 2.91
Tb  0.7500  0.7500  0.7500  6 O 2.23
V  0.2500  0.2500  0.2500  6 O 1.89
O  0.0206  0.0206  0.4794  1 V 1.89
O  0.0206  0.4794  0.0206  1 V 1.89
O  0.0206  0.4794  0.4794  1 V 1.89
O  0.4794  0.0206  0.0206  1 V 1.89
O  0.4794  0.0206  0.4794  1 V 1.89
O  0.4794  0.4794  0.0206  1 V 1.89

Output
Volume in Å³ per atom: 13.931
Energy in eV per cell: -67.871